A plane-wave DFT calculation with PBE was carried out for a relaxed structure of KIr2Au.

Calculated values
As for the density of states at the Fermi level: 1.276 states/eV/atom. As for the total energy: -17.83 eV for the cell shown. The density is 13.702 g/cm³. The calculation puts the volume at 75.2 Å³ per cell.

a b c (Å): 5.5541 5.5541 5.5541
angles (deg): 138.24 138.24 60.54
Last column: magnetic moment on the atom in μB.
Fractional positions:
Au1 0.7500 0.2500 0.5000  0.06
Ir1 0.0000 0.0000 0.0000  0.77
Ir2 0.5000 0.5000 0.0000  0.77
K1 0.2500 0.7500 0.5000  0.00

A plane-wave DFT calculation with PBE was carried out for a relaxed structure of Zn3Mo5.

Calculated values
As for the density of states at the Fermi level: 0.830 states/eV/atom. As for the total energy: -111.27 eV for the cell shown. The density is 9.157 g/cm³. The calculation puts the volume at 245.1 Å³ per cell.

a b c (Å): 7.6259 7.6259 4.8675
angles (deg): 90.00 90.00 60.00
Fractional positions:
Mo1 0.6667 0.6667 0.5000
Mo2 0.6667 0.6667 0.0000
Mo3 0.7880 0.2120 0.2500
Mo4 0.3333 0.3333 0.0000
Mo5 0.0000 0.2120 0.7500
Mo6 0.3333 0.3333 0.5000
Mo7 0.7880 0.0000 0.7500
Mo8 0.2120 0.0000 0.2500
Mo9 0.0000 0.7880 0.2500
Mo10 0.2120 0.7880 0.7500
Zn1 0.5939 0.4061 0.7500
Zn2 0.0000 0.5939 0.7500
Zn3 0.4062 0.5938 0.2500
Zn4 0.4062 0.0000 0.7500
Zn5 0.0000 0.4061 0.2500
Zn6 0.5939 0.0000 0.2500